PBE NiI2, optimized geometry; total moment = 1.69 μB per cell; energy = -4.09 eV/f.u.; space group = Fd-3m (227); crystal system = cubic
1.0
0.000 4.730 4.730
4.730 0.000 4.730
4.730 4.730 0.000
Ni I
2 4
Cartesian
1.183 1.183 1.183 Ni
8.278 8.278 8.278 Ni
4.730 2.365 2.365 I
2.365 4.730 2.365 I
2.365 2.365 4.730 I
4.730 4.730 4.730 I